! KNpPa GGA-PBE relaxed; values from VASP
&SYSTEM
  ibrav = 0, nat = 3, ntyp = 3
/
ATOMIC_SPECIES
Pa 231.04 Pa.upf
K 39.10 K.upf
Np 237.00 Np.upf
ATOMIC_POSITIONS angstrom
Pa 0.000 0.000 0.000
K 1.828 1.828 1.828
Np 5.484 5.484 5.484
CELL_PARAMETERS angstrom
0.000 3.656 3.656
3.656 0.000 3.656
3.656 3.656 0.000
! - SG = F-43m
! - offset from the most stable computed form (eV per atom) = 0.000
! - E (eV/atom) = -5.829